The following is a DFT calculation (PBE) of an optimized crystal structure of NaLiTh.

```
NaLiTh
1.0
3.399 0.000 0.000
-1.700 2.944 0.000
0.000 0.000 8.886
Th Na Li
1 1 1
direct
0.333 0.667 0.650
0.000 0.000 0.014
0.667 0.333 0.336
```

Calculated values
* M_tot: 0.00 μB/cell
* DFT total energy: -0.1228 hartree per atom
* volume: 89 Å³/f.u.
* energy of formation from the pure elements: 210.4 meV/atom